(1)
This record from Alexandria via LeMat-Bulk describes a relaxed structure of YPt3S. The functional is PBE-GGA.

Computed properties:
calculated total energy: -6.161 eV/atom
formation energy without anion corrections: -0.4183 eV/atom

Unit cell a=4.5984 b=4.5984 c=4.5984 alpha=90.00 beta=90.00 gamma=90.00
Last column: nearest neighbours and their distance in Å.
Positions (direct):
Y  0.5000  0.5000  0.5000  12 Pt 3.25
S  0.0000  0.0000  0.0000  6 Pt 2.30
Pt  0.0000  0.5000  0.0000  2 S 2.30
Pt  0.0000  0.0000  0.5000  2 S 2.30
Pt  0.5000  0.0000  0.0000  2 S 2.30

(2)
This record from Alexandria via LeMat-Bulk describes a relaxed structure of YPt3S. The functional is PBE-GGA.

Computed properties:
calculated total energy: -4.473 eV/atom
formation energy without anion corrections: 1.2696 eV/atom

Unit cell a=5.1030 b=5.1030 c=5.1030 alpha=90.00 beta=90.00 gamma=90.00
Last column: nearest neighbours and their distance in Å.
Positions (direct):
Y  0.0000  0.0000  0.0000  6 Pt 2.55
S  0.5000  0.5000  0.5000  12 Pt 3.61
Pt  0.0000  0.5000  0.0000  2 Y 2.55
Pt  0.0000  0.0000  0.5000  2 Y 2.55
Pt  0.5000  0.0000  0.0000  2 Y 2.55

(3)
This record from Alexandria via LeMat-Bulk describes a relaxed structure of Y6PtS5. The functional is PBE-GGA.

Computed properties:
calculated total energy: -7.329 eV/atom
formation energy without anion corrections: -1.8733 eV/atom

Unit cell a=6.8659 b=6.8659 c=6.8476 alpha=99.67 beta=99.67 gamma=119.97
Last column: nearest neighbours and their distance in Å.
Positions (direct):
Y  0.4174  0.0813  0.2482  5 S 2.77-2.82, 1 Pt 2.80
Y  0.9187  0.5826  0.7518  5 S 2.77-2.82, 1 Pt 2.80
Y  0.2515  0.2515  0.7485  5 S 2.79-2.82, 1 Pt 2.82
Y  0.7485  0.7485  0.2515  5 S 2.79-2.82, 1 Pt 2.82
Y  0.0813  0.4174  0.2482  5 S 2.77-2.82, 1 Pt 2.80
Y  0.5826  0.9187  0.7518  5 S 2.77-2.82, 1 Pt 2.80
S  0.8306  0.1694  0.5000  6 Y 2.77-2.82
S  0.6656  0.3344  0.0000  6 Y 2.79-2.80
S  0.5000  0.5000  0.5000  6 Y 2.79-2.82
S  0.3344  0.6656  0.0000  6 Y 2.79-2.80
S  0.1694  0.8306  0.5000  6 Y 2.77-2.82
Pt  0.0000  0.0000  0.0000  6 Y 2.80-2.82